1.
A plane-wave DFT calculation with PBE was carried out for HfMo2Ru after structural relaxation.

Output
Energy of formation from the pure elements = 0.446 eV per atom
Energy above the lowest structure with this stoichiometry = 1.57 eV/f.u.

abc: 7.446 7.446 5.198
angles: 90.00 90.00 90.00
Space group I-42d (No. 122)
Asymmetric unit:
Hf 0.000 0.000 0.000
Mo 0.217 0.250 0.625
Ru 0.000 0.000 0.500

***

2.
A plane-wave DFT calculation with PBE was carried out for PmMgF6 after structural relaxation.

Output
Uncorrected formation energy = -3.230 eV/atom
Energy above the lowest structure with this stoichiometry = 0.03 eV/f.u.

abc: 5.365 5.383 6.012
angles: 63.67 63.57 60.44
Space group P-1 (No. 2)
Asymmetric unit:
Pm 0.000 0.000 0.000
Mg 0.500 0.500 0.500
F 0.139 0.399 0.735
F 0.276 0.856 0.264
F 0.395 0.732 0.732

***

3.
A plane-wave DFT calculation with PBE was carried out for Rb2CuICl6 after structural relaxation.

Output
Uncorrected formation energy = -0.989 eV/atom

abc: 7.702 7.702 11.020
angles: 90.00 90.00 90.00
Space group I4/mmm (No. 139)
Asymmetric unit:
Rb 0.000 0.500 0.250
Cu 0.000 0.000 0.000
I 0.000 0.000 0.500
Cl 0.000 0.000 0.270
Cl 0.204 0.204 0.000

***

4.
A plane-wave DFT calculation with PBE was carried out for Al2GaPbS6 after structural relaxation.

Output
Uncorrected formation energy = -0.692 eV/atom

abc: 11.242 12.497 7.113
angles: 90.00 112.95 90.00
Space group C2/c (No. 15)
Asymmetric unit:
Al 0.121 0.077 0.158
Ga 0.000 0.320 0.750
Pb 0.000 0.387 0.250
S 0.114 0.079 0.482
S 0.138 0.252 0.062
S 0.140 0.435 0.678

***

| no. | uncorrected energy (eV/cell) |
| --- | --- |
| 1 | -156.44 |
| 2 | -43.41 |
| 3 | -57.10 |
| 4 | -183.60 |